This record from Alexandria describes a geometry-optimized Pr8NdY2 structure. The functional is PBE.

Output
* space group: C2/m (12)
* ΔE_f: 137 kJ/mol of formula units
* total magnetic moment: 0.00 Bohr magnetons per cell
* DOS at the Fermi energy: 1.427 states/eV per atom
* E above lowest polymorph: 0.025 eV per atom

a b c (Å): 6.103 9.292 9.630
angles (deg): 61.15 74.19 55.62
Sites, in units of the cell vectors:
Pr 0.816 0.099 0.239
Pr 0.816 0.338 0.761
Pr 0.296 0.424 0.000
Pr 0.500 0.795 0.410
Pr 0.500 0.205 0.590
Pr 0.704 0.576 0.000
Pr 0.184 0.662 0.239
Pr 0.184 0.901 0.761
Nd 0.500 0.000 0.000
Y 0.000 0.310 0.379
Y 0.000 0.690 0.621